No. 1
Density functional theory data (PBE) for crystalline Lu2SnPb at its relaxed geometry.

Cell lengths 4.287, 4.966, 4.966 Å; angles 90.00, 90.00, 90.00 degrees
Sites, in units of the cell vectors:
1 Sn 0.500 0.000 0.000
2 Pb 0.500 0.500 0.500
3 Lu 0.000 0.500 0.000
4 Lu 0.000 0.000 0.500

## Properties
space group = P4/mmm (123)
total magnetization = 0.0 μB/cell
formation enthalpy at 0 K = -422 meV per atom

***

No. 2
Density functional theory data (PBE) for crystalline Pr2AlGa3 at its relaxed geometry.

Cell lengths 4.210, 4.404, 8.152 Å; angles 105.67, 104.96, 90.00 degrees
Sites, in units of the cell vectors:
1 Ga 0.542 0.542 0.083
2 Pr 0.871 0.371 0.742
3 Pr 0.129 0.129 0.259
4 Al 0.459 0.959 0.918
5 Ga 0.293 0.793 0.585
6 Ga 0.707 0.707 0.414

## Properties
space group = Imm2 (44)
total magnetization = 0.0 μB/cell
formation enthalpy at 0 K = -637 meV per atom

***

No. 3
Density functional theory data (PBE) for crystalline AcY2In3Te6 at its relaxed geometry.

Cell lengths 7.863, 7.863, 8.512 Å; angles 98.88, 98.88, 119.88 degrees
Sites, in units of the cell vectors:
1 Te 0.279 0.279 0.780
2 Y 0.667 0.333 0.000
3 In 0.838 0.162 0.500
4 Te 0.721 0.721 0.220
5 Te 0.925 0.572 0.774
6 In 0.162 0.838 0.500
7 Y 0.333 0.667 0.000
8 Te 0.075 0.428 0.226
9 In 0.500 0.500 0.500
10 Ac 0.000 0.000 0.000
11 Te 0.428 0.075 0.226
12 Te 0.572 0.925 0.774

## Properties
space group = C2/m (12)
total magnetization = 0.0 μB/cell
raw formation energy = -1.001 eV per atom

***

No. 4
Density functional theory data (PBE) for crystalline Rb4Nd3YSe8 at its relaxed geometry.

Cell lengths 8.692, 9.461, 8.692 Å; angles 117.36, 120.00, 90.00 degrees
Sites, in units of the cell vectors:
1 Nd 0.000 0.500 0.500
2 Nd 0.500 0.500 0.000
3 Se 0.230 0.699 0.459
4 Rb 0.000 0.000 0.500
5 Se 0.734 0.702 0.468
6 Se 0.770 0.301 0.541
7 Y 0.000 0.500 0.000
8 Rb 0.500 0.000 0.000
9 Rb 0.500 0.000 0.500
10 Se 0.740 0.699 0.969
11 Se 0.770 0.301 0.031
12 Se 0.266 0.298 0.532
13 Se 0.230 0.699 0.969
14 Se 0.260 0.301 0.031
15 Nd 0.500 0.500 0.500
16 Rb 0.000 0.000 0.000

## Properties
space group = R-3m (166)
total magnetization = 0.0 μB/cell
raw formation energy = -1.736 eV per atom

***

No. 5
Density functional theory data (PBE) for crystalline ErThGe2 at its relaxed geometry.

Cell lengths 4.275, 4.159, 5.872 Å; angles 90.00, 111.36, 90.00 degrees
Sites, in units of the cell vectors:
1 Ge 0.172 0.500 0.881
2 Er 0.720 0.000 0.979
3 Th 0.445 0.500 0.430
4 Ge 0.994 0.000 0.528

## Properties
space group = Amm2 (38)
total magnetization = 0.0 μB/cell
formation enthalpy at 0 K = -758 meV per atom

***

No. 6
Density functional theory data (PBE) for crystalline Ga2BiPd7 at its relaxed geometry.

Cell lengths 4.484, 7.132, 7.132 Å; angles 117.93, 90.00, 90.00 degrees
Sites, in units of the cell vectors:
1 Pd 0.000 0.776 0.224
2 Pd 0.500 0.691 0.933
3 Pd 0.000 0.224 0.776
4 Pd 0.500 0.067 0.309
5 Pd 0.500 0.500 0.500
6 Ga 0.500 0.699 0.301
7 Bi 0.000 0.000 0.000
8 Ga 0.500 0.301 0.699
9 Pd 0.500 0.309 0.067
10 Pd 0.500 0.933 0.691

## Properties
space group = Cmmm (65)
total magnetization = 0.0 μB/cell
formation enthalpy at 0 K = -90 meV per atom

***

No. 7
Density functional theory data (PBE) for crystalline SrLa14Pr at its relaxed geometry.

Cell lengths 7.504, 7.504, 10.575 Å; angles 90.00, 90.00, 90.00 degrees
Sites, in units of the cell vectors:
1 La 0.618 0.618 0.756
2 Pr 0.375 0.375 0.500
3 La 0.375 0.875 0.500
4 La 0.875 0.375 0.000
5 La 0.132 0.132 0.756
6 La 0.618 0.132 0.244
7 La 0.875 0.875 0.000
8 La 0.875 0.375 0.500
9 La 0.375 0.875 0.000
10 La 0.132 0.618 0.244
11 Sr 0.875 0.875 0.500
12 La 0.375 0.375 0.000
13 La 0.618 0.618 0.244
14 La 0.132 0.618 0.756
15 La 0.132 0.132 0.244
16 La 0.618 0.132 0.756

## Properties
space group = P4/mmm (123)
total magnetization = 0.0 μB/cell
formation enthalpy at 0 K = 31 meV per atom

***

No. 8
Density functional theory data (PBE) for crystalline PmNpTcSb at its relaxed geometry.

Cell lengths 5.025, 5.025, 5.025 Å; angles 60.00, 60.00, 60.00 degrees
Site moments in Bohr magnetons follow the coordinates.
Sites, in units of the cell vectors:
1 Sb 0.000 0.000 0.000  0.02
2 Tc 0.750 0.750 0.750  -0.81
3 Np 0.250 0.250 0.250  4.20
4 Pm 0.500 0.500 0.500  0.23

## Properties
space group = F-43m (216)
total magnetization = 4.0 μB/cell
raw formation energy = 0.242 eV per atom

***

Number 1: calculated total energy -4.6099 eV/atom. Number 2: calculated total energy -4.3672 eV/atom. Number 3: calculated total energy -4.6759 eV/atom. Number 4: calculated total energy -5.0177 eV/atom. Number 5: calculated total energy -6.0624 eV/atom. Number 6: calculated total energy -4.7184 eV/atom. Number 7: calculated total energy -4.6839 eV/atom. Number 8: calculated total energy -7.8026 eV/atom.